# KOsRh2, optimized geometry, DFT PBE
# - Theoretical density: 10.941 g cm⁻³
# - ΔE_f: 3.76 eV per formula unit
# - Energy above the most stable polymorph in this dataset: 500 meV/atom
# - Uncorrected energy: -5.818 eV per atom
# - Spin magnetization: 1.3 μB per cell
data_KOsRh2
_cell_length_a 6.1004
_cell_length_b 7.9341
_cell_length_c 2.7289
_cell_angle_alpha 90.00
_cell_angle_beta 90.00
_cell_angle_gamma 90.00
_space_group_name_H-M_alt 'C m m m'
_space_group_IT_number 65
_space_group_name_Hall '-C 2 2'
loop_
_atom_site_label
_atom_site_type_symbol
_atom_site_fract_x
_atom_site_fract_y
_atom_site_fract_z
_atom_site_occupancy
K1 K 0.0000 0.0000 0.0000 1
Os1 Os 0.0000 0.5000 0.0000 1
Rh1 Rh 0.2500 0.2500 0.5000 1